No. 1
First-principles (GGA-PBE) data for a relaxed structure of BaInGa, as listed in the Alexandria database.

Size of the total moment = 0.000 μB per cell
Symmetry = P-1 (2)
Calculated density = 5.2 Mg/m³

Unit cell a=4.691 b=7.333 c=6.493 alpha=79.04 beta=111.09 gamma=89.56
Sites, in units of the cell vectors:
Ba: 0.370 0.827 0.182
Ba: 0.134 0.425 0.727
Ga: 0.842 0.193 0.139
Ga: 0.662 0.059 0.770
In: 0.439 0.304 0.336
In: 0.065 0.948 0.573



No. 2
First-principles (GGA-PBE) data for a relaxed structure of BaInGa, as listed in the Alexandria database.

Size of the total moment = 0.000 μB per cell
Symmetry = Cmcm (63)
Calculated density = 5.6 Mg/m³

Unit cell a=13.501 b=6.781 c=4.169 alpha=90.00 beta=90.00 gamma=90.00
Sites, in units of the cell vectors:
Ba: 0.680 0.250 0.000
Ba: 0.820 0.750 0.500
Ba: 0.320 0.750 0.000
Ba: 0.180 0.250 0.500
Ga: 0.000 0.000 0.000
Ga: 0.500 0.500 0.500
Ga: 0.500 0.000 0.500
Ga: 0.000 0.500 0.000
In: 0.405 0.250 0.000
In: 0.095 0.750 0.500
In: 0.595 0.750 0.000
In: 0.905 0.250 0.500



No. 3
First-principles (GGA-PBE) data for a relaxed structure of Ba3InGa, as listed in the Alexandria database.

E above lowest polymorph = 0.285 eV per atom
Size of the total moment = 2.906 μB per cell
Symmetry = Pm-3m (221)
Calculated density = 3.8 Mg/m³

Unit cell a=6.389 b=6.389 c=6.389 alpha=90.00 beta=90.00 gamma=90.00
Sites, in units of the cell vectors:
Ba: 0.000 0.500 0.000
Ba: 0.000 0.000 0.500
Ba: 0.500 0.000 0.000
Ga: 0.000 0.000 0.000
In: 0.500 0.500 0.500



Number 1: formation enthalpy at 0 K -118 kJ/mol of formula units. Number 2: formation enthalpy at 0 K -90 kJ/mol of formula units. Number 3: formation enthalpy at 0 K -4 kJ/mol of formula units.